No. 1
Below is a geometry-optimized KCuNi2 structure, with properties calculated at the PBE level.

Cell: 4.1627 3.9200 3.9200 Å, 90.00 90.00 90.00°
Last column: nearest neighbours and their distance in Å.
Element x y z (fractional)
1 Ni 0.0000 0.0000 0.0000  4 Ni 2.77, 4 K 2.86, 4 Cu 2.86
2 K 0.5000 0.0000 0.5000  4 Cu 2.77, 8 Ni 2.86
3 Cu 0.5000 0.5000 0.0000  4 K 2.77, 8 Ni 2.86
4 Ni 0.0000 0.5000 0.5000  4 Ni 2.77, 4 K 2.86, 4 Cu 2.86

Computed properties:
Space-group type: P4/mmm (123)
Density of states at the Fermi level, states/eV/atom: 1.47
V, A^3/atom: 15.99
Energy of formation from the pure elements, eV per atom: 0.9600

---

No. 2
Below is a geometry-optimized Pm8Sn4Te3 structure, with properties calculated at the PBE level.

Cell: 8.9934 8.9469 8.9469 Å, 90.00 120.21 120.21°
Last column: nearest neighbours and their distance in Å.
Element x y z (fractional)
1 Te 0.5000 0.5000 0.5000  6 Pm 3.17-3.22
2 Sn 0.5000 0.0000 0.0000  6 Pm 3.11-3.14
3 Pm 0.0000 0.7546 0.2454  3 Sn 3.11-3.16, 2 Te 3.16
4 Pm 0.5000 0.7522 0.2478  3 Sn 3.13-3.16, 3 Te 3.16-3.19
5 Sn 0.0000 0.0000 0.0000  6 Pm 3.08-3.13
6 Pm 0.5135 0.7613 0.7613  2 Sn 3.08-3.11, 3 Te 3.16-3.22
7 Pm 0.0024 0.7538 0.7538  4 Sn 3.13-3.16, 1 Te 3.17
8 Pm 0.5000 0.2478 0.7522  3 Sn 3.13-3.16, 3 Te 3.16-3.19
9 Pm 0.0000 0.2454 0.7546  3 Sn 3.11-3.16, 2 Te 3.16
10 Pm 0.9976 0.2462 0.2462  4 Sn 3.13-3.16, 1 Te 3.17
11 Te 0.5000 0.5000 0.0000  6 Pm 3.16
12 Sn 0.0000 0.0000 0.5000  6 Pm 3.16
13 Te 0.5000 0.0000 0.5000  6 Pm 3.16
14 Sn 0.0000 0.5000 0.0000  6 Pm 3.16
15 Pm 0.4865 0.2387 0.2387  2 Sn 3.08-3.11, 3 Te 3.16-3.22

Computed properties:
Space-group type: C2/m (12)
Density of states at the Fermi level, states/eV/atom: 0.49
Energy relative to the elements, uncorrected, eV per atom: -0.927
V, A^3/atom: 33.72

---

Question: Among the records above, which one has the lowest V?
Answer: KCuNi2